1.
First-principles (PBE-GGA) data for a relaxed structure of OsPbC2N, as listed in Alexandria.

The formation energy from raw total energies is 2.5512 eV/atom. The density of states at the Fermi level comes out at 4.523 states/eV per cell.

It has space group P4/mmm (No. 123), with a = 4.3323 Å, b = 4.3323 Å, c = 3.7322 Å, α = 90.00°, β = 90.00° and γ = 90.00°. The distinct sites, in fractional coordinates, are Os at (0.0000, 0.0000, 0.0000), Pb at (0.5000, 0.5000, 0.0000), C at (0.0000, 0.5000, 0.5000) and N at (0.0000, 0.0000, 0.5000).



2.
First-principles (PBE-GGA) data for a relaxed structure of RbOs2CN, as listed in Alexandria.

The formation energy from raw total energies is 5.4237 eV/atom. The density of states at the Fermi level comes out at 6.725 states/eV per cell.

It has space group P4/mmm (No. 123), with a = 4.8316 Å, b = 4.8316 Å, c = 4.0649 Å, α = 90.00°, β = 90.00° and γ = 90.00°. The distinct sites, in fractional coordinates, are Rb at (0.0000, 0.0000, 0.0000), Os at (0.0000, 0.5000, 0.0000), C at (0.0000, 0.0000, 0.5000) and N at (0.5000, 0.5000, 0.5000).



3.
First-principles (PBE-GGA) data for a relaxed structure of OsRh2CN, as listed in Alexandria.

The formation energy from raw total energies is 2.4911 eV/atom. The density of states at the Fermi level comes out at 6.549 states/eV per cell.

It has space group P4/mmm (No. 123), with a = 4.8335 Å, b = 4.8335 Å, c = 3.7967 Å, α = 90.00°, β = 90.00° and γ = 90.00°. The distinct sites, in fractional coordinates, are Os at (0.0000, 0.0000, 0.0000), Rh at (0.0000, 0.5000, 0.0000), C at (0.0000, 0.0000, 0.5000) and N at (0.5000, 0.5000, 0.5000).



4.
First-principles (PBE-GGA) data for a relaxed structure of OsCS2N, as listed in Alexandria.

The formation energy from raw total energies is 1.9307 eV/atom. The value obtained for the energy above the most stable polymorph in this dataset is 132 meV per atom. The density of states at the Fermi level comes out at 2.833 states/eV per cell.

It has space group P4/mmm (No. 123), with a = 3.9262 Å, b = 3.9262 Å, c = 3.5245 Å, α = 90.00°, β = 90.00° and γ = 90.00°. The distinct sites, in fractional coordinates, are Os at (0.0000, 0.0000, 0.0000), C at (0.5000, 0.5000, 0.5000), S at (0.0000, 0.5000, 0.5000) and N at (0.5000, 0.5000, 0.0000).



5.
First-principles (PBE-GGA) data for a relaxed structure of OsCS2N, as listed in Alexandria.

The formation energy from raw total energies is 1.7992 eV/atom. The value obtained for the energy above the most stable polymorph in this dataset is 0 meV per atom. The density of states at the Fermi level comes out at 5.168 states/eV per cell.

It has space group P4/mmm (No. 123), with a = 4.7295 Å, b = 4.7295 Å, c = 3.6669 Å, α = 90.00°, β = 90.00° and γ = 90.00°. The distinct sites, in fractional coordinates, are Os at (0.0000, 0.0000, 0.0000), C at (0.5000, 0.5000, 0.5000), S at (0.0000, 0.5000, 0.0000) and N at (0.0000, 0.0000, 0.5000).



6.
First-principles (PBE-GGA) data for a relaxed structure of OsCSeN2, as listed in Alexandria.

The formation energy from raw total energies is 1.7065 eV/atom. The value obtained for the energy above the most stable polymorph in this dataset is 0 meV per atom. The density of states at the Fermi level comes out at 2.241 states/eV per cell.

It has space group P4/mmm (No. 123), with a = 3.7100 Å, b = 3.7100 Å, c = 5.5145 Å, α = 90.00°, β = 90.00° and γ = 90.00°. The distinct sites, in fractional coordinates, are Os at (0.0000, 0.0000, 0.0000), C at (0.5000, 0.5000, 0.5000), Se at (0.0000, 0.0000, 0.5000) and N at (0.0000, 0.5000, 0.0000).



7.
First-principles (PBE-GGA) data for a relaxed structure of OsCSeN2, as listed in Alexandria.

The formation energy from raw total energies is 2.5103 eV/atom. The value obtained for the energy above the most stable polymorph in this dataset is 804 meV per atom. The density of states at the Fermi level comes out at 2.844 states/eV per cell.

It has space group P4/mmm (No. 123), with a = 3.6326 Å, b = 3.6326 Å, c = 3.9375 Å, α = 90.00°, β = 90.00° and γ = 90.00°. The distinct sites, in fractional coordinates, are Os at (0.0000, 0.0000, 0.0000), C at (0.5000, 0.5000, 0.5000), Se at (0.5000, 0.5000, 0.0000) and N at (0.0000, 0.5000, 0.5000).



8.
First-principles (PBE-GGA) data for a relaxed structure of SiOsCN, as listed in Alexandria.

The formation energy from raw total energies is -0.0362 eV/atom. The value obtained for the energy above the most stable polymorph in this dataset is 19 meV per atom. The density of states at the Fermi level comes out at 3.503 states/eV per cell.

It has space group R3m (No. 160, hexagonal axes), with a = 2.8349 Å, b = 2.8349 Å, c = 17.0670 Å, α = 90.00°, β = 90.00° and γ = 120.00°. The distinct sites, in fractional coordinates, are Si at (0.0000, 0.0000, 0.0000), Os at (0.0000, 0.0000, 0.2149), C at (0.0000, 0.0000, 0.8070) and N at (0.0000, 0.0000, 0.7242).



9.
First-principles (PBE-GGA) data for a relaxed structure of SiOsCN, as listed in Alexandria.

The formation energy from raw total energies is -0.0547 eV/atom. The value obtained for the energy above the most stable polymorph in this dataset is 0 meV per atom. The density of states at the Fermi level comes out at 2.780 states/eV per cell.

It has space group R3m (No. 160, hexagonal axes), with a = 2.8857 Å, b = 2.8857 Å, c = 17.6216 Å, α = 90.00°, β = 90.00° and γ = 120.00°. The distinct sites, in fractional coordinates, are Si at (0.0000, 0.0000, 0.0000), Os at (0.0000, 0.0000, 0.5041), C at (0.0000, 0.0000, 0.1026) and N at (0.0000, 0.0000, 0.6309).



10.
First-principles (PBE-GGA) data for a relaxed structure of SiOsCN, as listed in Alexandria.

The formation energy from raw total energies is 0.4176 eV/atom. The value obtained for the energy above the most stable polymorph in this dataset is 472 meV per atom. The density of states at the Fermi level comes out at 3.006 states/eV per cell.

It has space group Cm (No. 8), with a = 3.8182 Å, b = 3.9303 Å, c = 5.2622 Å, α = 90.00°, β = 99.30° and γ = 90.00°. The distinct sites, in fractional coordinates, are Si at (0.0000, 0.0000, 0.0000), Os at (0.1318, 0.5000, 0.5408), C at (0.0777, 0.0000, 0.3698) and N at (0.4914, 0.0000, 0.9559).



11.
First-principles (PBE-GGA) data for a relaxed structure of SiOsCN, as listed in Alexandria.

The formation energy from raw total energies is 0.3099 eV/atom. The value obtained for the energy above the most stable polymorph in this dataset is 365 meV per atom. The density of states at the Fermi level comes out at 2.536 states/eV per cell.

It has space group Amm2 (No. 38), with a = 2.8350 Å, b = 2.8632 Å, c = 9.8053 Å, α = 90.00°, β = 90.00° and γ = 90.00°. The distinct sites, in fractional coordinates, are Si at (0.0000, 0.0000, 0.0000), Os at (0.5000, 0.0000, 0.2277), C at (0.0000, 0.0000, 0.6273) and N at (0.5000, 0.0000, 0.8931).



12.
First-principles (PBE-GGA) data for a relaxed structure of SiOsCN, as listed in Alexandria.

The formation energy from raw total energies is -0.0163 eV/atom. The value obtained for the energy above the most stable polymorph in this dataset is 38 meV per atom. The density of states at the Fermi level comes out at 1.354 states/eV per cell.

It has space group P3m1 (No. 156), with a = 2.8636 Å, b = 2.8636 Å, c = 5.9607 Å, α = 90.00°, β = 90.00° and γ = 120.00°. The distinct sites, in fractional coordinates, are Si at (0.0000, 0.0000, 0.0000), Os at (0.3333, 0.6667, 0.4885), C at (0.0000, 0.0000, 0.6938) and N at (0.3333, 0.6667, 0.1114).